# 1
A geometry-optimized PmPuIrPb structure, computed with PBE-GGA.

final energy: -8.12 eV per atom

a = 5.207 Å, b = 5.207 Å, c = 5.207 Å
α = 60.00°, β = 60.00°, γ = 60.00°
Fractional positions:
Ir 0.250 0.250 0.250
Pb 0.750 0.750 0.750
Pu 0.500 0.500 0.500
Pm 0.000 0.000 0.000

# 2
A geometry-optimized PmIrRhPb structure, computed with PBE-GGA.

final energy: -6.48 eV per atom

a = 4.847 Å, b = 4.847 Å, c = 4.847 Å
α = 60.00°, β = 60.00°, γ = 60.00°
Fractional positions:
Rh 0.500 0.500 0.500
Pb 0.250 0.250 0.250
Pm 0.750 0.750 0.750
Ir 0.000 0.000 0.000

# 3
A geometry-optimized PmSmIrPb structure, computed with PBE-GGA.

final energy: -5.92 eV per atom

a = 5.254 Å, b = 5.254 Å, c = 5.254 Å
α = 60.00°, β = 60.00°, γ = 60.00°
Fractional positions:
Pm 0.750 0.750 0.750
Ir 0.000 0.000 0.000
Sm 0.250 0.250 0.250
Pb 0.500 0.500 0.500

# 4
A geometry-optimized TbPmIrPb structure, computed with PBE-GGA.

E above lowest polymorph: 0.000 eV per atom
final energy: -6.12 eV per atom

a = 3.540 Å, b = 3.540 Å, c = 8.130 Å
α = 90.00°, β = 90.00°, γ = 90.00°
Fractional positions:
Pm 0.500 0.500 0.777
Tb 0.500 0.500 0.367
Ir 0.000 0.000 0.563
Pb 0.000 0.000 0.078

# 5
A geometry-optimized TbPmIrPb structure, computed with PBE-GGA.

E above lowest polymorph: 0.203 eV per atom
final energy: -5.92 eV per atom

a = 5.213 Å, b = 5.213 Å, c = 5.213 Å
α = 60.00°, β = 60.00°, γ = 60.00°
Fractional positions:
Pb 0.250 0.250 0.250
Pm 0.500 0.500 0.500
Tb 0.000 0.000 0.000
Ir 0.750 0.750 0.750

# 6
A geometry-optimized PmYIrPb structure, computed with PBE-GGA.

E above lowest polymorph: 0.000 eV per atom
final energy: -6.58 eV per atom

a = 3.539 Å, b = 3.539 Å, c = 8.113 Å
α = 90.00°, β = 90.00°, γ = 90.00°
Fractional positions:
Y 0.500 0.500 0.366
Ir 0.000 0.000 0.563
Pb 0.000 0.000 0.079
Pm 0.500 0.500 0.777

# 7
A geometry-optimized PmYIrPb structure, computed with PBE-GGA.

E above lowest polymorph: 0.193 eV per atom
final energy: -6.39 eV per atom

a = 5.206 Å, b = 5.206 Å, c = 5.206 Å
α = 60.00°, β = 60.00°, γ = 60.00°
Fractional positions:
Pb 0.500 0.500 0.500
Y 0.750 0.750 0.750
Pm 0.250 0.250 0.250
Ir 0.000 0.000 0.000

# 8
A geometry-optimized PrIr4Pb structure, computed with PBE-GGA.

final energy: -7.54 eV per atom

a = 5.434 Å, b = 5.434 Å, c = 5.434 Å
α = 60.00°, β = 60.00°, γ = 60.00°
Fractional positions:
Ir 0.626 0.123 0.626
Ir 0.626 0.626 0.123
Pb 0.000 0.000 0.000
Ir 0.123 0.626 0.626
Ir 0.626 0.626 0.626
Pr 0.250 0.250 0.250

Number 1: D(E_F) 2.391 states/eV/atom. Number 2: D(E_F) 1.040 states/eV/atom. Number 3: D(E_F) 0.821 states/eV/atom. Number 4: D(E_F) 0.522 states/eV/atom. Number 5: D(E_F) 0.868 states/eV/atom. Number 6: D(E_F) 0.525 states/eV/atom. Number 7: D(E_F) 0.861 states/eV/atom. Number 8: D(E_F) 1.596 states/eV/atom.